(1)
VASP calculation (GGA-PBE) on a relaxed structure of CdSb2Pt.

total DFT energy (no corrections) = -3.71 eV/atom
volume = 89 Å³/cell
magnetic moment = 0.00 μB per cell
E_form (uncorrected) = 0.09 eV/atom

The structure in POSCAR format:
```
CdSb2Pt
1.0
4.577 0.000 0.000
0.000 4.577 0.000
0.000 0.000 4.246
Cd Sb Pt
1 2 1
Direct
0.000 0.000 0.000 Cd
0.000 0.500 0.500 Sb
0.500 0.000 0.500 Sb
0.500 0.500 0.000 Pt
```

=====

(2)
VASP calculation (GGA-PBE) on a relaxed structure of Ta2TlRh.

total DFT energy (no corrections) = -8.29 eV/atom
volume = 74 Å³/cell
magnetic moment = 0.00 μB per cell
formation enthalpy at 0 K = 0.070 eV per atom

The structure in POSCAR format:
```
Ta2TlRh
1.0
2.971 0.000 0.000
0.000 2.971 0.000
0.000 0.000 8.359
Ta Tl Rh
2 1 1
Direct
0.000 0.000 0.000 Ta
0.500 0.500 0.257 Ta
0.000 0.000 0.540 Tl
0.500 0.500 0.790 Rh
```

=====

What is the formula in the second record? Ta2TlRh